Entry from Alexandria: a relaxed structure of CeThCd (PBE-GGA).

Properties
- total DFT energy (no corrections) (eV/atom) = -4.599
- SG = No. 69
- polymorph energy (0 for the lowest one) (meV per atom) = 186
- N(E_F) (states/eV per cell) = 13.1

Structure (POSCAR):
```
CeThCd
1.0
0.0000 4.5510 5.9777
3.2755 0.0000 5.9777
3.2755 4.5510 0.0000
Ce Th Cd
2 2 2
Direct
0.1524 0.8476 0.1524
0.8476 0.1524 0.8476
0.2500 0.2500 0.2500
0.7500 0.7500 0.7500
0.3858 0.3858 0.6142
0.6142 0.6142 0.3858
```



Entry from Alexandria: a relaxed structure of CeTh2Cd6 (PBE-GGA).

Properties
- total DFT energy (no corrections) (eV/atom) = -3.126
- SG = No. 191
- N(E_F) (states/eV per cell) = 10.0

Structure (POSCAR):
```
CeTh2Cd6
1.0
8.8976 0.0000 0.0000
-4.4488 7.7056 0.0000
0.0000 0.0000 3.3394
Ce Th Cd
1 2 6
Direct
0.0000 0.0000 0.0000
0.3333 0.6667 0.0000
0.6667 0.3333 0.0000
0.0000 0.3325 0.5000
0.0000 0.6675 0.5000
0.3325 0.0000 0.5000
0.3325 0.3325 0.5000
0.6675 0.0000 0.5000
0.6675 0.6675 0.5000
```



Entry from Alexandria: a relaxed structure of Ce4ThCd (PBE-GGA).

Properties
- total DFT energy (no corrections) (eV/atom) = -4.875
- SG = No. 123
- N(E_F) (states/eV per cell) = 17.4

Structure (POSCAR):
```
Ce4ThCd
1.0
4.0380 0.0000 0.0000
0.0000 4.0380 0.0000
0.0000 0.0000 10.8637
Ce Th Cd
4 1 1
Direct
0.0000 0.5000 0.2457
0.0000 0.5000 0.7543
0.5000 0.0000 0.2457
0.5000 0.0000 0.7543
0.0000 0.0000 0.5000
0.5000 0.5000 0.0000
```



Entry from Alexandria: a relaxed structure of CeThCd (PBE-GGA).

Properties
- total DFT energy (no corrections) (eV/atom) = -4.785
- SG = No. 107
- polymorph energy (0 for the lowest one) (meV per atom) = 0
- N(E_F) (states/eV per cell) = 5.7

Structure (POSCAR):
```
CeThCd
1.0
-1.6692 1.6692 7.6195
1.6692 -1.6692 7.6195
1.6692 1.6692 -7.6195
Ce Th Cd
1 1 1
Direct
0.0000 0.0000 0.0000
0.6766 0.6766 0.0000
0.3410 0.3410 0.0000
```



Entry from Alexandria: a relaxed structure of Ce2ThCd (PBE-GGA).

Properties
- total DFT energy (no corrections) (eV/atom) = -4.924
- SG = No. 225
- polymorph energy (0 for the lowest one) (meV per atom) = 190
- N(E_F) (states/eV per cell) = 13.0

Structure (POSCAR):
```
Ce2ThCd
1.0
0.0000 3.8503 3.8503
3.8503 0.0000 3.8503
3.8503 3.8503 0.0000
Ce Th Cd
2 1 1
Direct
0.2500 0.2500 0.2500
0.7500 0.7500 0.7500
0.0000 0.0000 0.0000
0.5000 0.5000 0.5000
```



Entry from Alexandria: a relaxed structure of CeThTlCd (PBE-GGA).

Properties
- total DFT energy (no corrections) (eV/atom) = -4.018
- SG = No. 38
- polymorph energy (0 for the lowest one) (meV per atom) = 246
- N(E_F) (states/eV per cell) = 7.4

Structure (POSCAR):
```
CeThTlCd
1.0
5.8708 0.0000 0.0000
0.0000 1.6521 6.0795
0.0000 -1.6521 6.0795
Ce Th Tl Cd
1 1 1 1
Direct
0.0000 0.0000 0.0000
0.0000 0.7290 0.7290
0.5000 0.5917 0.5917
0.5000 0.8572 0.8572
```



Entry from Alexandria: a relaxed structure of CeThTlCd (PBE-GGA).

Properties
- total DFT energy (no corrections) (eV/atom) = -4.263
- SG = No. 216
- polymorph energy (0 for the lowest one) (meV per atom) = 0
- N(E_F) (states/eV per cell) = 10.2

Structure (POSCAR):
```
CeThTlCd
1.0
0.0000 3.8675 3.8675
3.8675 0.0000 3.8675
3.8675 3.8675 0.0000
Ce Th Tl Cd
1 1 1 1
Direct
0.0000 0.0000 0.0000
0.5000 0.5000 0.5000
0.2500 0.2500 0.2500
0.7500 0.7500 0.7500
```



Entry from Alexandria: a relaxed structure of Ce2ThZn2Cd2 (PBE-GGA).

Properties
- total DFT energy (no corrections) (eV/atom) = -3.528
- SG = No. 166
- N(E_F) (states/eV per cell) = 8.5

Structure (POSCAR):
```
Ce2ThZn2Cd2
1.0
2.2932 1.3240 9.0753
-2.2932 1.3240 9.0753
0.0000 -2.6480 9.0753
Ce Th Zn Cd
2 1 2 2
Direct
0.1430 0.1430 0.1430
0.8570 0.8570 0.8570
0.0000 0.0000 0.0000
0.2623 0.2623 0.2623
0.7377 0.7377 0.7377
0.4086 0.4086 0.4086
0.5914 0.5914 0.5914
```



Number 1: ΔE_f 157 meV/atom. Number 2: ΔE_f -208 meV/atom. Number 3: ΔE_f 470 meV/atom. Number 4: ΔE_f -29 meV/atom. Number 5: ΔE_f 127 meV/atom. Number 6: ΔE_f 141 meV/atom. Number 7: ΔE_f -105 meV/atom. Number 8: ΔE_f -147 meV/atom.